# 1
TiZn2IrI after structural relaxation, computed with PBE-GGA.

Cell lengths 4.932, 4.759, 4.932 Å; angles 90.00, 90.00, 90.00 degrees
Element x y z (fractional)
1 Ir 0.000 0.000 0.000
2 Ti 0.000 0.500 0.000
3 I 0.500 0.500 0.500
4 Zn 0.000 0.000 0.500
5 Zn 0.500 0.000 0.000

Output
**Crystal system**: tetragonal
**Total DFT energy (no corrections)**: -4.063 eV/atom

=====

# 2
ScV2Mo after structural relaxation, computed with PBE-GGA.

Cell lengths 4.498, 4.498, 4.498 Å; angles 60.00, 60.00, 60.00 degrees
Each line ends with the local moment (μB).
Element x y z (fractional)
1 V 0.250 0.250 0.250  1.13
2 V 0.750 0.750 0.750  1.13
3 Mo 0.500 0.500 0.500  -0.43
4 Sc 0.000 0.000 0.000  0.38

Output
**Crystal system**: cubic
**Formation energy from the elements**: 0.17 eV/atom
**ΔE to the lowest computed polymorph**: 0.068 eV per atom
**Total DFT energy (no corrections)**: -8.676 eV/atom

=====

# 3
Tb6Si2Pb after structural relaxation, computed with PBE-GGA.

Cell lengths 8.577, 8.577, 8.577 Å; angles 105.30, 110.68, 112.53 degrees
Element x y z (fractional)
1 Tb 0.703 0.383 0.680
2 Tb 0.791 0.761 0.552
3 Tb 0.297 0.978 0.680
4 Tb 0.209 0.239 0.448
5 Tb 0.209 0.761 0.970
6 Tb 0.907 0.720 0.187
7 Tb 0.791 0.239 0.030
8 Tb 0.533 0.720 0.813
9 Tb 0.467 0.280 0.187
10 Tb 0.093 0.280 0.813
11 Tb 0.703 0.022 0.320
12 Tb 0.297 0.617 0.320
13 Si 0.500 0.615 0.115
14 Si 0.500 0.385 0.885
15 Si 0.373 0.000 0.373
16 Si 0.627 0.000 0.627
17 Pb 0.000 0.000 0.000
18 Pb 0.000 0.500 0.500

Output
**Crystal system**: orthorhombic
**Total DFT energy (no corrections)**: -5.248 eV/atom

=====

Repeat the third record exactly.
Tb6Si2Pb after structural relaxation, computed with PBE-GGA.

Cell lengths 8.577, 8.577, 8.577 Å; angles 105.30, 110.68, 112.53 degrees
Element x y z (fractional)
1 Tb 0.703 0.383 0.680
2 Tb 0.791 0.761 0.552
3 Tb 0.297 0.978 0.680
4 Tb 0.209 0.239 0.448
5 Tb 0.209 0.761 0.970
6 Tb 0.907 0.720 0.187
7 Tb 0.791 0.239 0.030
8 Tb 0.533 0.720 0.813
9 Tb 0.467 0.280 0.187
10 Tb 0.093 0.280 0.813
11 Tb 0.703 0.022 0.320
12 Tb 0.297 0.617 0.320
13 Si 0.500 0.615 0.115
14 Si 0.500 0.385 0.885
15 Si 0.373 0.000 0.373
16 Si 0.627 0.000 0.627
17 Pb 0.000 0.000 0.000
18 Pb 0.000 0.500 0.500

Output
**Crystal system**: orthorhombic
**Total DFT energy (no corrections)**: -5.248 eV/atom